1.
{"formula": "CsK2TbF6", "functional": "PBE", "state": "relaxed", "sg": "R3", "e_form_raw_mev_per_atom": -3329, "m_tot_mub_per_cell": 0.2, "lattice": [[6.680, -0.001, 0.002], [3.339, 5.783, 0.002], [3.341, 1.929, 5.802]], "species": ["Cs", "K", "K", "Tb", "F", "F", "F", "F", "F", "F"], "fractional_positions": [[0.803, 0.803, 0.591], [0.531, 0.531, 0.406], [0.019, 0.019, 0.942], [0.320, 0.320, 0.039], [0.558, 0.239, 0.223], [0.238, 0.980, 0.223], [0.980, 0.558, 0.223], [0.381, 0.667, 0.789], [0.667, 0.163, 0.789], [0.163, 0.381, 0.789]]}



2.
{"formula": "Cs2KTcF6", "functional": "PBE", "state": "relaxed", "sg": "I4/mmm", "e_form_raw_mev_per_atom": -2480, "m_tot_mub_per_cell": 2.0, "lattice": [[6.555, 0.000, 0.000], [0.000, 6.555, 0.000], [3.277, 3.277, 4.673]], "species": ["Cs", "Cs", "K", "Tc", "F", "F", "F", "F", "F", "F"], "fractional_positions": [[0.750, 0.250, 0.500], [0.250, 0.750, 0.500], [0.500, 0.500, 0.000], [0.000, 0.000, 0.000], [0.223, 0.223, 0.554], [0.777, 0.777, 0.446], [0.220, 0.220, 0.000], [0.780, 0.780, 0.000], [0.780, 0.220, 0.000], [0.220, 0.780, 0.000]]}



3.
{"formula": "CsKTcF6", "functional": "PBE", "state": "relaxed", "sg": "P-31c", "e_form_raw_mev_per_atom": -2564, "m_tot_mub_per_cell": 6.0, "lattice": [[-3.712, 5.312, -1.045], [-1.276, -5.579, -3.215], [-6.519, -3.017, 7.823]], "species": ["Cs", "Cs", "K", "K", "Tc", "Tc", "F", "F", "F", "F", "F", "F", "F", "F", "F", "F", "F", "F"], "fractional_positions": [[0.000, 0.000, 0.000], [0.000, 0.000, 0.500], [0.333, 0.667, 0.250], [0.667, 0.333, 0.750], [0.667, 0.333, 0.250], [0.333, 0.667, 0.750], [0.660, 0.580, 0.147], [0.919, 0.340, 0.147], [0.340, 0.919, 0.647], [0.081, 0.660, 0.853], [0.420, 0.340, 0.353], [0.919, 0.580, 0.353], [0.580, 0.919, 0.853], [0.660, 0.081, 0.353], [0.081, 0.420, 0.647], [0.420, 0.081, 0.147], [0.580, 0.660, 0.647], [0.340, 0.420, 0.853]]}



4.
{"formula": "CsKTeF6", "functional": "PBE", "state": "relaxed", "sg": "P3", "e_form_raw_mev_per_atom": -2501, "m_tot_mub_per_cell": 0.0, "lattice": [[6.744, 0.000, 0.002], [3.373, 5.840, 0.001], [0.000, -0.001, 4.977]], "species": ["Cs", "K", "Te", "F", "F", "F", "F", "F", "F"], "fractional_positions": [[0.000, 0.000, 0.898], [0.667, 0.667, 0.471], [0.333, 0.333, 0.465], [0.050, 0.289, 0.330], [0.382, 0.086, 0.725], [0.532, 0.382, 0.725], [0.086, 0.533, 0.725], [0.290, 0.660, 0.330], [0.660, 0.050, 0.330]]}



5.
{"formula": "CsKThF6", "functional": "PBE", "state": "relaxed", "sg": "P-31c", "e_form_raw_mev_per_atom": -3565, "m_tot_mub_per_cell": 0.0, "lattice": [[-1.542, -6.717, -0.214], [2.791, 2.717, 5.690], [-10.047, 2.183, 3.886]], "species": ["Cs", "Cs", "K", "K", "Th", "Th", "F", "F", "F", "F", "F", "F", "F", "F", "F", "F", "F", "F"], "fractional_positions": [[0.000, 0.000, 0.000], [0.000, 0.000, 0.500], [0.333, 0.667, 0.250], [0.667, 0.333, 0.750], [0.667, 0.333, 0.250], [0.333, 0.667, 0.750], [0.651, 0.602, 0.142], [0.951, 0.349, 0.142], [0.349, 0.951, 0.642], [0.049, 0.651, 0.858], [0.398, 0.349, 0.358], [0.951, 0.602, 0.358], [0.602, 0.951, 0.858], [0.651, 0.049, 0.358], [0.049, 0.398, 0.642], [0.398, 0.049, 0.142], [0.602, 0.651, 0.642], [0.349, 0.398, 0.858]]}



6.
{"formula": "Cs2KTi3F12", "functional": "PBE", "state": "relaxed", "sg": "R-3m", "e_form_raw_mev_per_atom": -3224, "m_tot_mub_per_cell": 3.0, "lattice": [[-2.947, 5.492, 4.499], [-6.860, 3.004, -1.732], [-6.052, -1.627, 4.451]], "species": ["Cs", "Cs", "K", "Ti", "Ti", "Ti", "F", "F", "F", "F", "F", "F", "F", "F", "F", "F", "F", "F"], "fractional_positions": [[0.615, 0.615, 0.615], [0.385, 0.385, 0.385], [0.000, 0.000, 0.000], [0.500, 0.000, 0.000], [0.000, 0.500, 0.000], [0.000, 0.000, 0.500], [0.285, 0.285, 0.900], [0.885, 0.885, 0.426], [0.426, 0.885, 0.885], [0.900, 0.285, 0.285], [0.885, 0.426, 0.885], [0.285, 0.900, 0.285], [0.715, 0.715, 0.100], [0.115, 0.115, 0.574], [0.574, 0.115, 0.115], [0.100, 0.715, 0.715], [0.115, 0.574, 0.115], [0.715, 0.100, 0.715]]}



7.
{"formula": "CsK2TiF6", "functional": "PBE", "state": "relaxed", "sg": "P2_1/c", "e_form_raw_mev_per_atom": -3037, "m_tot_mub_per_cell": 2.0, "lattice": [[-3.037, 3.475, -4.312], [-2.201, -5.699, -3.043], [-7.493, 0.122, 5.192]], "species": ["Cs", "Cs", "K", "K", "K", "K", "Ti", "Ti", "F", "F", "F", "F", "F", "F", "F", "F", "F", "F", "F", "F"], "fractional_positions": [[0.500, 0.000, 0.000], [0.000, 0.500, 0.500], [0.006, 0.970, 0.272], [0.506, 0.530, 0.772], [0.994, 0.030, 0.728], [0.494, 0.470, 0.228], [0.500, 0.000, 0.500], [0.000, 0.500, 0.000], [0.272, 0.643, 0.020], [0.772, 0.857, 0.520], [0.728, 0.357, 0.980], [0.228, 0.143, 0.480], [0.365, 0.776, 0.391], [0.865, 0.724, 0.891], [0.635, 0.224, 0.609], [0.135, 0.276, 0.109], [0.886, 0.613, 0.189], [0.386, 0.887, 0.689], [0.114, 0.387, 0.811], [0.614, 0.113, 0.311]]}



8.
{"formula": "CsK2TiF6", "functional": "PBE", "state": "relaxed", "sg": "Fm-3m", "e_form_raw_mev_per_atom": -2943, "m_tot_mub_per_cell": 1.0, "lattice": [[-6.045, -1.956, -2.208], [-5.128, 4.352, -0.060], [-2.361, 2.335, -5.849]], "species": ["Cs", "K", "K", "Ti", "F", "F", "F", "F", "F", "F"], "fractional_positions": [[0.500, 0.500, 0.500], [0.750, 0.750, 0.750], [0.250, 0.250, 0.250], [0.000, 0.000, 0.000], [0.209, 0.791, 0.209], [0.791, 0.209, 0.209], [0.791, 0.209, 0.791], [0.209, 0.209, 0.791], [0.791, 0.791, 0.209], [0.209, 0.791, 0.791]]}



9.
{"formula": "Cs2K3TlF6", "functional": "PBE", "state": "relaxed", "sg": "C2/m", "e_form_raw_mev_per_atom": -2520, "m_tot_mub_per_cell": 0.0, "lattice": [[-0.075, -1.303, -3.791], [4.300, -6.509, 2.151], [-8.304, -1.935, 2.950]], "species": ["Cs", "Cs", "K", "K", "K", "Tl", "F", "F", "F", "F", "F", "F"], "fractional_positions": [[0.834, 0.670, 0.667], [0.166, 0.330, 0.333], [0.500, 0.500, 0.000], [0.836, 0.165, 0.673], [0.164, 0.835, 0.327], [0.500, 0.000, 0.000], [0.333, 0.937, 0.666], [0.658, 0.600, 0.316], [0.667, 0.063, 0.334], [0.995, 0.252, 0.989], [0.005, 0.748, 0.011], [0.342, 0.400, 0.684]]}



10.
{"formula": "Cs2KTl3F6", "functional": "PBE", "state": "relaxed", "sg": "C2/m", "e_form_raw_mev_per_atom": -2195, "m_tot_mub_per_cell": 0.0, "lattice": [[4.066, 0.000, 0.000], [0.000, 8.177, 0.400], [-2.033, -2.249, 8.770]], "species": ["Cs", "Cs", "K", "Tl", "Tl", "Tl", "F", "F", "F", "F", "F", "F"], "fractional_positions": [[0.830, 0.684, 0.661], [0.170, 0.316, 0.339], [0.500, 0.000, 0.000], [0.500, 0.500, 0.000], [0.847, 0.175, 0.694], [0.153, 0.825, 0.306], [0.354, 0.956, 0.708], [0.656, 0.573, 0.312], [0.646, 0.044, 0.292], [0.993, 0.236, 0.987], [0.007, 0.764, 0.013], [0.344, 0.427, 0.688]]}